This record from Alexandria via LeMat-Bulk describes a geometry-optimized Pr7Er3Tm structure. The functional is GGA-PBE.

* energy of formation from the pure elements: 18.0 kJ per mole of atoms
* offset from the most stable computed form: 0 meV per atom

a = 7.1900 Å, b = 10.3516 Å, c = 12.5433 Å
α = 66.79°, β = 73.43°, γ = 69.72°
Last column: nearest neighbours and their distance in Å.
Positions (direct):
Pr1 0.0000 0.0000 0.0000  4 Er 3.49-3.72, 7 Pr 3.55-3.68, 1 Tm 3.58
Pr2 0.0010 0.4997 0.4951  6 Pr 3.54-3.74, 1 Tm 3.55, 4 Er 3.57-3.71
Pr3 0.1171 0.9428 0.7227  2 Tm 3.48, 4 Er 3.51-3.86, 4 Pr 3.57-3.68
Pr4 0.2577 0.7347 0.2444  4 Er 3.42-3.61, 7 Pr 3.60-3.75
Pr5 0.2679 0.2350 0.7441  4 Er 3.43-3.62, 7 Pr 3.60-3.74
Pr6 0.3309 0.3860 0.9499  6 Pr 3.54-3.75, 1 Tm 3.55, 4 Er 3.57-3.71
Pr7 0.3346 0.8855 0.4451  4 Er 3.49-3.72, 7 Pr 3.54-3.68, 1 Tm 3.58
Pr8 0.5058 0.5000 0.4999  4 Er 3.49-3.72, 7 Pr 3.54-3.69, 1 Tm 3.58
Pr9 0.5099 0.9995 0.9947  6 Pr 3.55-3.75, 1 Tm 3.55, 4 Er 3.57-3.71
Pr10 0.5735 0.1502 0.2003  4 Er 3.43-3.62, 7 Pr 3.60-3.74
Pr11 0.5828 0.6515 0.7006  4 Er 3.42-3.62, 7 Pr 3.60-3.75
Pr12 0.7230 0.4427 0.2224  2 Tm 3.48-3.49, 4 Er 3.51-3.86, 4 Pr 3.58-3.68
Pr13 0.8393 0.8860 0.4496  6 Pr 3.54-3.74, 1 Tm 3.55, 4 Er 3.57-3.72
Pr14 0.8409 0.3856 0.9448  4 Er 3.49-3.73, 7 Pr 3.54-3.68, 1 Tm 3.58
Er1 0.0899 0.1209 0.1994  10 Pr 3.49-3.73, 1 Tm 3.58
Er2 0.0975 0.6208 0.6993  10 Pr 3.49-3.72, 1 Tm 3.57
Er3 0.4196 0.1930 0.4721  6 Pr 3.43-3.60, 2 Tm 3.59-3.60
Er4 0.4200 0.6925 0.9728  6 Pr 3.42-3.60, 2 Tm 3.59-3.60
Er5 0.7432 0.7647 0.2454  10 Pr 3.49-3.72, 1 Tm 3.57
Er6 0.7509 0.2650 0.7455  10 Pr 3.49-3.72, 1 Tm 3.57
Tm1 0.9195 0.1927 0.4727  6 Pr 3.48-3.58, 4 Er 3.57-3.60
Tm2 0.9202 0.6926 0.9724  6 Pr 3.48-3.58, 4 Er 3.57-3.60


This record from Alexandria via LeMat-Bulk describes a geometry-optimized Pr7Er12Tm structure. The functional is GGA-PBE.

* energy of formation from the pure elements: 62.9 kJ per mole of atoms
* offset from the most stable computed form: 425 meV per atom

a = 9.7763 Å, b = 9.7763 Å, c = 9.7763 Å
α = 109.47°, β = 109.47°, γ = 109.47°
Last column: nearest neighbours and their distance in Å.
Positions (direct):
Pr1 0.0000 0.0000 0.5000  6 Er 2.82
Pr2 0.0000 0.5000 0.0000  6 Er 2.82
Pr3 0.0000 0.5000 0.5000  12 Er 3.99-4.09
Pr4 0.5000 0.0000 0.0000  6 Er 2.82
Pr5 0.5000 0.0000 0.5000  12 Er 3.99-4.09
Pr6 0.5000 0.5000 0.0000  12 Er 3.99-4.09
Pr7 0.5000 0.5000 0.5000  6 Er 2.82
Er1 0.0000 0.2438 0.7562  2 Pr 2.82
Er2 0.0000 0.7562 0.2438  2 Pr 2.82
Er3 0.2438 0.0000 0.7562  2 Pr 2.82
Er4 0.2438 0.2438 0.4877  2 Pr 2.82
Er5 0.2438 0.4877 0.2438  2 Pr 2.82
Er6 0.2438 0.7562 0.0000  2 Pr 2.82
Er7 0.4877 0.2438 0.2438  2 Pr 2.82
Er8 0.5123 0.7562 0.7562  2 Pr 2.82
Er9 0.7562 0.0000 0.2438  2 Pr 2.82
Er10 0.7562 0.2438 0.0000  2 Pr 2.82
Er11 0.7562 0.5123 0.7562  2 Pr 2.82
Er12 0.7562 0.7562 0.5123  2 Pr 2.82
Tm1 0.0000 0.0000 0.0000  12 Er 3.89


This record from Alexandria via LeMat-Bulk describes a geometry-optimized Pr7Er3Tm structure. The functional is GGA-PBE.

* energy of formation from the pure elements: 21.6 kJ per mole of atoms
* offset from the most stable computed form: 37 meV per atom

a = 8.6064 Å, b = 8.6064 Å, c = 5.9358 Å
α = 110.12°, β = 110.12°, γ = 83.54°
Last column: nearest neighbours and their distance in Å.
Positions (direct):
Pr1 0.0000 0.0000 0.0000  2 Tm 2.97
Pr2 0.0972 0.5218 0.3097  2 Er 3.26-3.65, 3 Pr 3.37-3.49
Pr3 0.2913 0.2913 0.7930  1 Tm 3.32, 2 Er 3.34, 2 Pr 3.49
Pr4 0.4782 0.9028 0.6903  2 Er 3.26-3.65, 3 Pr 3.37-3.49
Pr5 0.5218 0.0972 0.3097  2 Er 3.26-3.65, 3 Pr 3.37-3.49
Pr6 0.7087 0.7087 0.2070  1 Tm 3.32, 2 Er 3.34, 2 Pr 3.49
Pr7 0.9028 0.4782 0.6903  2 Er 3.26-3.65, 3 Pr 3.37-3.49
Er1 0.2951 0.7049 0.0000  9 Pr 3.34-3.68
Er2 0.5000 0.5000 0.5000  4 Pr 3.26
Er3 0.7049 0.2951 0.0000  9 Pr 3.34-3.68
Tm1 0.0000 0.0000 0.5000  4 Pr 2.97-3.32


This record from Alexandria via LeMat-Bulk describes a geometry-optimized Pr5Er3Tm structure. The functional is GGA-PBE.

* energy of formation from the pure elements: 30.4 kJ per mole of atoms
* offset from the most stable computed form: 50 meV per atom

a = 9.7255 Å, b = 9.7255 Å, c = 9.7255 Å
α = 122.22°, β = 122.22°, γ = 86.20°
Last column: nearest neighbours and their distance in Å.
Positions (direct):
Pr1 0.0000 0.0000 0.0000  6 Er 3.55-3.81, 8 Pr 3.88
Pr2 0.0678 0.5678 0.9010  1 Tm 3.14, 1 Er 3.16
Pr3 0.1668 0.0678 0.5000  1 Tm 3.14, 1 Er 3.16
Pr4 0.3332 0.8332 0.9010  1 Tm 3.14, 1 Er 3.16
Pr5 0.4322 0.3332 0.5000  1 Tm 3.14, 1 Er 3.16
Pr6 0.5000 0.5000 0.0000  6 Er 3.55-3.81, 8 Pr 3.88
Pr7 0.5678 0.6668 0.5000  1 Tm 3.14, 1 Er 3.16
Pr8 0.6668 0.1668 0.0990  1 Tm 3.14, 1 Er 3.16
Pr9 0.8332 0.9322 0.5000  1 Tm 3.14, 1 Er 3.16
Pr10 0.9322 0.4322 0.0990  1 Tm 3.14, 1 Er 3.16
Er1 0.1090 0.3910 0.5000  1 Er 2.90, 2 Pr 3.16
Er2 0.2500 0.2500 0.0000  10 Pr 3.55-3.77
Er3 0.3910 0.8910 0.2820  1 Er 2.90, 2 Pr 3.16
Er4 0.6090 0.1090 0.7180  1 Er 2.90, 2 Pr 3.16
Er5 0.7500 0.7500 0.0000  10 Pr 3.55-3.77
Er6 0.8910 0.6090 0.5000  1 Er 2.90, 2 Pr 3.16
Tm1 0.2500 0.7500 0.5000  4 Pr 3.14
Tm2 0.7500 0.2500 0.5000  4 Pr 3.14


This record from Alexandria via LeMat-Bulk describes a geometry-optimized Pr2ErTm4 structure. The functional is GGA-PBE.

* energy of formation from the pure elements: 26.2 kJ per mole of atoms
* offset from the most stable computed form: 83 meV per atom

a = 8.4238 Å, b = 8.4238 Å, c = 8.4238 Å
α = 109.54°, β = 109.54°, γ = 109.33°
Last column: nearest neighbours and their distance in Å.
Positions (direct):
Pr1 0.0018 0.6250 0.8768  8 Tm 3.34-3.40
Pr2 0.3750 0.2518 0.3768  8 Tm 3.34-3.40
Pr3 0.7482 0.1250 0.1232  8 Tm 3.34-3.40
Pr4 0.8750 0.9982 0.6232  8 Tm 3.34-3.40
Er1 0.2500 0.7500 0.5000  8 Tm 3.34-3.38
Er2 0.5000 0.5000 0.0000  8 Tm 3.34-3.38
Tm1 0.1268 0.3766 0.0871  2 Er 3.34-3.38, 4 Pr 3.34-3.40, 3 Tm 3.62-3.66
Tm2 0.1266 0.3768 0.5871  2 Er 3.34-3.38, 4 Pr 3.34-3.40, 3 Tm 3.62-3.66
Tm3 0.2895 0.0397 0.9129  2 Er 3.34-3.38, 4 Pr 3.34-3.40, 3 Tm 3.62-3.66
Tm4 0.4605 0.8734 0.2502  2 Er 3.34-3.38, 4 Pr 3.34-3.40, 3 Tm 3.62-3.66
Tm5 0.6232 0.2103 0.7498  2 Er 3.34-3.38, 4 Pr 3.34-3.40, 3 Tm 3.62-3.66
Tm6 0.6234 0.7105 0.7502  2 Er 3.34-3.38, 4 Pr 3.34-3.40, 3 Tm 3.62-3.66
Tm7 0.7897 0.5395 0.4129  2 Er 3.34-3.38, 4 Pr 3.34-3.40, 3 Tm 3.62-3.66
Tm8 0.9603 0.8732 0.2498  2 Er 3.34-3.38, 4 Pr 3.34-3.40, 3 Tm 3.62-3.66


This record from Alexandria via LeMat-Bulk describes a geometry-optimized Pr3Er4Tm structure. The functional is GGA-PBE.

* energy of formation from the pure elements: 2.3 kJ per mole of atoms
* offset from the most stable computed form: 0 meV per atom

a = 11.4423 Å, b = 7.3186 Å, c = 6.2884 Å
α = 90.00°, β = 90.00°, γ = 90.00°
Last column: nearest neighbours and their distance in Å.
Positions (direct):
Pr1 0.0000 0.1281 0.0000  4 Pr 3.56-3.57, 6 Er 3.58-3.69, 2 Tm 3.60-3.72
Pr2 0.2504 0.1273 0.3361  1 Tm 3.56, 7 Er 3.56-3.71, 4 Pr 3.56-3.66
Pr3 0.2496 0.8727 0.8361  1 Tm 3.56, 7 Er 3.56-3.71, 4 Pr 3.56-3.66
Pr4 0.5000 0.8719 0.5000  4 Pr 3.56-3.57, 6 Er 3.58-3.69, 2 Tm 3.60-3.72
Pr5 0.7496 0.1273 0.3361  1 Tm 3.56, 7 Er 3.56-3.71, 4 Pr 3.56-3.66
Pr6 0.7504 0.8727 0.8361  1 Tm 3.56, 7 Er 3.56-3.71, 4 Pr 3.56-3.66
Er1 0.0000 0.3789 0.5005  6 Er 3.50-3.74, 4 Pr 3.56-3.64, 2 Tm 3.60-3.61
Er2 0.0000 0.8679 0.4974  4 Er 3.51-3.74, 6 Pr 3.56-3.69, 2 Tm 3.61-3.65
Er3 0.2475 0.6203 0.3346  5 Er 3.50-3.60, 2 Tm 3.52-3.54, 5 Pr 3.58-3.71
Er4 0.2525 0.3797 0.8346  5 Er 3.50-3.60, 2 Tm 3.52-3.54, 5 Pr 3.58-3.71
Er5 0.5000 0.1321 0.9974  4 Er 3.51-3.74, 6 Pr 3.56-3.69, 2 Tm 3.61-3.65
Er6 0.5000 0.6211 0.0005  6 Er 3.50-3.74, 4 Pr 3.56-3.64, 2 Tm 3.60-3.61
Er7 0.7475 0.3797 0.8346  5 Er 3.50-3.60, 2 Tm 3.52-3.54, 5 Pr 3.58-3.71
Er8 0.7525 0.6203 0.3346  5 Er 3.50-3.60, 2 Tm 3.52-3.54, 5 Pr 3.58-3.71
Tm1 0.0000 0.6197 0.0013  8 Er 3.52-3.65, 4 Pr 3.56-3.72
Tm2 0.5000 0.3803 0.5013  8 Er 3.52-3.65, 4 Pr 3.56-3.72


This record from Alexandria via LeMat-Bulk describes a geometry-optimized Pr5Er4Tm2 structure. The functional is GGA-PBE.

* energy of formation from the pure elements: 7.7 kJ per mole of atoms
* offset from the most stable computed form: 0 meV per atom

a = 9.0068 Å, b = 9.0068 Å, c = 11.6514 Å
α = 93.86°, β = 93.86°, γ = 22.75°
Last column: nearest neighbours and their distance in Å.
Positions (direct):
Pr1 0.0000 0.0000 0.0000  6 Er 3.54-3.57, 6 Pr 3.55-3.64
Pr2 0.3232 0.3232 0.9286  4 Er 3.44-3.70, 6 Pr 3.55-3.64, 2 Tm 3.73
Pr3 0.4018 0.4018 0.4645  4 Er 3.31-3.54, 3 Tm 3.46-3.56, 3 Pr 3.51-3.55
Pr4 0.5982 0.5982 0.5355  4 Er 3.31-3.54, 3 Tm 3.46-3.56, 3 Pr 3.51-3.55
Pr5 0.6768 0.6768 0.0714  4 Er 3.44-3.70, 6 Pr 3.55-3.64, 2 Tm 3.73
Er1 0.1406 0.1406 0.7944  6 Pr 3.49-3.70, 4 Er 3.55-3.61, 2 Tm 3.62
Er2 0.4639 0.4639 0.7387  5 Pr 3.31-3.54, 4 Er 3.55-3.61
Er3 0.5361 0.5361 0.2613  5 Pr 3.31-3.54, 4 Er 3.55-3.61
Er4 0.8594 0.8594 0.2056  6 Pr 3.49-3.70, 4 Er 3.55-3.61, 2 Tm 3.62
Tm1 0.2155 0.2155 0.3509  5 Pr 3.46-3.73, 2 Tm 3.55, 4 Er 3.62-3.72
Tm2 0.7845 0.7845 0.6491  5 Pr 3.46-3.73, 2 Tm 3.55, 4 Er 3.62-3.72


This record from Alexandria via LeMat-Bulk describes a geometry-optimized Pr2ErTm9 structure. The functional is GGA-PBE.

* energy of formation from the pure elements: 8.2 kJ per mole of atoms
* offset from the most stable computed form: 54 meV per atom

a = 11.1639 Å, b = 11.1639 Å, c = 3.4739 Å
α = 90.00°, β = 90.00°, γ = 120.00°
Last column: nearest neighbours and their distance in Å.
Positions (direct):
Pr1 0.3333 0.6667 0.0000  9 Tm 3.22-3.55, 2 Pr 3.47
Pr2 0.6667 0.3333 0.0000  9 Tm 3.22-3.55, 2 Pr 3.47
Er1 0.0000 0.0000 0.0000  2 Er 3.47, 12 Tm 3.78
Tm1 0.0000 0.5000 0.0000  2 Pr 3.22, 10 Tm 3.47-3.61
Tm2 0.1734 0.3468 0.5000  8 Tm 3.35-3.61, 2 Pr 3.55
Tm3 0.1734 0.8266 0.5000  8 Tm 3.35-3.61, 2 Pr 3.55
Tm4 0.3468 0.1734 0.5000  8 Tm 3.35-3.61, 2 Pr 3.55
Tm5 0.5000 0.0000 0.0000  2 Pr 3.22, 10 Tm 3.47-3.61
Tm6 0.5000 0.5000 0.0000  2 Pr 3.22, 10 Tm 3.47-3.61
Tm7 0.6532 0.8266 0.5000  8 Tm 3.35-3.61, 2 Pr 3.55
Tm8 0.8266 0.1734 0.5000  8 Tm 3.35-3.61, 2 Pr 3.55
Tm9 0.8266 0.6532 0.5000  8 Tm 3.35-3.61, 2 Pr 3.55


Repeat the seventh record exactly.
This record from Alexandria via LeMat-Bulk describes a geometry-optimized Pr5Er4Tm2 structure. The functional is GGA-PBE.

* energy of formation from the pure elements: 7.7 kJ per mole of atoms
* offset from the most stable computed form: 0 meV per atom

a = 9.0068 Å, b = 9.0068 Å, c = 11.6514 Å
α = 93.86°, β = 93.86°, γ = 22.75°
Last column: nearest neighbours and their distance in Å.
Positions (direct):
Pr1 0.0000 0.0000 0.0000  6 Er 3.54-3.57, 6 Pr 3.55-3.64
Pr2 0.3232 0.3232 0.9286  4 Er 3.44-3.70, 6 Pr 3.55-3.64, 2 Tm 3.73
Pr3 0.4018 0.4018 0.4645  4 Er 3.31-3.54, 3 Tm 3.46-3.56, 3 Pr 3.51-3.55
Pr4 0.5982 0.5982 0.5355  4 Er 3.31-3.54, 3 Tm 3.46-3.56, 3 Pr 3.51-3.55
Pr5 0.6768 0.6768 0.0714  4 Er 3.44-3.70, 6 Pr 3.55-3.64, 2 Tm 3.73
Er1 0.1406 0.1406 0.7944  6 Pr 3.49-3.70, 4 Er 3.55-3.61, 2 Tm 3.62
Er2 0.4639 0.4639 0.7387  5 Pr 3.31-3.54, 4 Er 3.55-3.61
Er3 0.5361 0.5361 0.2613  5 Pr 3.31-3.54, 4 Er 3.55-3.61
Er4 0.8594 0.8594 0.2056  6 Pr 3.49-3.70, 4 Er 3.55-3.61, 2 Tm 3.62
Tm1 0.2155 0.2155 0.3509  5 Pr 3.46-3.73, 2 Tm 3.55, 4 Er 3.62-3.72
Tm2 0.7845 0.7845 0.6491  5 Pr 3.46-3.73, 2 Tm 3.55, 4 Er 3.62-3.72


> energy of formation from the pure elements of number 3 (Pr7Er3Tm)?

21.6 kJ per mole of atoms


> Among the records above, which one has the lowest energy of formation from the pure elements?

Pr3Er4Tm